Material: MnTeNO2
Method: DFT, PBE with a Hubbard U
State: optimized geometry

POSCAR file:
```
MnTeNO2
1.0
-2.247 -2.376 -1.897
-0.052 -2.329 2.978
-3.296 1.947 1.465
Te O Mn N
1 2 1 1
direct
0.500 0.500 0.500 Te
0.000 0.500 0.000 O
0.500 0.000 0.000 O
0.000 0.000 0.000 Mn
0.000 0.000 0.500 N
```

V: 59 Å³ per cell
Crystal system: tetragonal
Calculated density: 6.48 Mg/m³
Symmetry: No. 123
Total DFT energy (no corrections): -29.09 eV/f.u.